# 1
La12Ge5H2 | PBE | relaxed

The structure in CIF format:
```
data_La12Ge5H2
_chemical_formula_sum 'La24 Ge10 H4'
_cell_length_a 17.088
_cell_length_b 7.708
_cell_length_c 9.259
_cell_angle_alpha 90.00
_cell_angle_beta 105.26
_cell_angle_gamma 90.00
_symmetry_space_group_name_H-M 'C 1 2/m 1'
_symmetry_Int_Tables_number 12
loop_
_symmetry_equiv_pos_as_xyz
'x,y,z'
'-x,-y,-z'
'-x,y,-z'
'x,-y,z'
'x+1/2,y+1/2,z'
'-x+1/2,-y+1/2,-z'
'-x+1/2,y+1/2,-z'
'x+1/2,-y+1/2,z'
loop_
_atom_site_label
_atom_site_fract_x
_atom_site_fract_y
_atom_site_fract_z
La1 0.005 0.000 0.224
La2 0.007 0.500 0.817
La3 0.146 0.251 0.569
La4 0.159 0.254 0.087
Ge1 0.000 0.500 0.500
Ge2 0.184 0.000 0.844
Ge3 0.199 0.000 0.353
H1 0.000 0.249 0.000
```

Summary:
E_tot = -0.3772 Ry per atom

# 2
LaGeH3 | PBE | relaxed

The structure in CIF format:
```
data_LaGeH3
_chemical_formula_sum 'La1 Ge1 H3'
_cell_length_a 4.361
_cell_length_b 4.361
_cell_length_c 4.361
_cell_angle_alpha 90.00
_cell_angle_beta 90.00
_cell_angle_gamma 90.00
_symmetry_space_group_name_H-M 'P m -3 m'
_symmetry_Int_Tables_number 221
_symmetry_space_group_name_Hall '-P 4 2 3'
loop_
_atom_site_label
_atom_site_fract_x
_atom_site_fract_y
_atom_site_fract_z
La1 0.000 0.000 0.000
Ge1 0.500 0.500 0.500
H1 0.000 0.000 0.500
```

Summary:
energy relative to the lowest polymorph listed for this composition = 201 meV per atom
E_tot = -0.2713 Ry per atom

# 3
La6Ge2H | PBE | relaxed

The structure in CIF format:
```
data_La6Ge2H
_chemical_formula_sum 'La12 Ge4 H2'
_cell_length_a 6.486
_cell_length_b 8.056
_cell_length_c 11.763
_cell_angle_alpha 90.00
_cell_angle_beta 123.42
_cell_angle_gamma 90.00
_symmetry_space_group_name_H-M 'P 1 21/c 1'
_symmetry_Int_Tables_number 14
loop_
_symmetry_equiv_pos_as_xyz
'x,y,z'
'-x,-y,-z'
'-x,y+1/2,-z+1/2'
'x,-y+1/2,z+1/2'
loop_
_atom_site_label
_atom_site_fract_x
_atom_site_fract_y
_atom_site_fract_z
La1 0.070 0.176 0.451
La2 0.330 0.695 0.448
La3 0.373 0.028 0.245
Ge1 0.168 0.119 0.755
H1 0.500 0.000 0.500
```

Summary:
E_tot = -0.3815 Ry per atom

The highest E_tot belongs to which entry? LaGeH3

Among the records above, which one has the highest E_tot? LaGeH3